Here is a geometry-optimized NaAlCoBr2 structure from Alexandria via LeMat-Bulk. Energies are from PBE.

Values from the calculation:
E_form (uncorrected)   50.7 kJ/mol of atoms

Unit cell a=5.4148 b=5.4148 c=5.3477 alpha=90.00 beta=90.00 gamma=90.00
Space group P4/mmm (No. 123)
One atom of each set of equivalent atoms:
Na: 0.0000 0.0000 0.0000 [1 per cell]
Al: 0.5000 0.5000 0.5000 [1 per cell]
Co: 0.0000 0.0000 0.5000 [1 per cell]
Br: 0.0000 0.5000 0.0000 [2 per cell]

---

Here is a geometry-optimized Ti3MoS6 structure from Alexandria via LeMat-Bulk. Energies are from PBE.

Values from the calculation:
E_form (uncorrected)   -109.4 kJ/mol of atoms

Unit cell a=11.1015 b=3.3507 c=11.5856 alpha=90.00 beta=109.45 gamma=90.00
Space group P2_1/m (No. 11)
One atom of each set of equivalent atoms:
Ti: 0.0046 0.2500 0.1110 [2 per cell]
Ti: 0.2676 0.2500 0.7324 [2 per cell]
Ti: 0.4211 0.7500 0.5764 [2 per cell]
Mo: 0.1965 0.2500 0.9626 [2 per cell]
S: 0.0450 0.2500 0.7601 [2 per cell]
S: 0.1774 0.7500 0.1057 [2 per cell]
S: 0.1984 0.7500 0.5794 [2 per cell]
S: 0.3346 0.7500 0.9042 [2 per cell]
S: 0.3584 0.2500 0.4161 [2 per cell]
S: 0.4822 0.2500 0.7392 [2 per cell]